First-principles (GGA+U) data for a relaxed VReP2O crystal, as listed in Alexandria.

Cell: 4.744 4.744 3.498 Å, 90.00 90.00 90.00°
Fractional coordinates of all 5 atoms:
V 0.000 0.000 0.000
Re 0.500 0.500 0.500
P 0.000 0.500 0.000
P 0.500 0.000 0.000
O 0.000 0.000 0.500

Summary:
V   78.7 Å³ per cell
ΔE to the lowest computed polymorph   183 meV per atom
DOS at the Fermi energy   2.948 states/eV/cell